{"formula": "TaRu", "functional": "PBE-GGA", "state": "optimized geometry", "cell": [[-5.207, -5.995, -2.214], [3.470, -0.254, -7.473], [2.596, -2.734, 1.298]], "species": ["Ta", "Ta", "Ta", "Ta", "Ta", "Ta", "Ta", "Ta", "Ru", "Ru", "Ru", "Ru", "Ru", "Ru", "Ru", "Ru"], "fractional_positions": [[0.697, 0.000, 0.000], [0.303, 0.000, 0.000], [0.000, 0.303, 0.000], [0.000, 0.697, 0.000], [0.197, 0.500, 0.500], [0.803, 0.500, 0.500], [0.500, 0.803, 0.500], [0.500, 0.197, 0.500], [0.338, 0.338, 0.000], [0.338, 0.662, 0.000], [0.662, 0.338, 0.000], [0.662, 0.662, 0.000], [0.838, 0.838, 0.500], [0.838, 0.162, 0.500], [0.162, 0.838, 0.500], [0.162, 0.162, 0.500]], "ef_ev_per_atom": -0.04, "magmom_total_mub_per_fu": 0.0, "density_g_cm3": 13.83, "sg": "I4/mmm (139)"}